The following is a DFT calculation (PBE) of a relaxed CsPb2Se2O6 crystal.

Structure (POSCAR):
```
CsPb2Se2O6
1.0
-1.5306 5.0926 2.1754
-7.1922 1.0550 0.5471
-1.4648 -3.4688 5.9249
Pb O Se Cs
2 6 2 1
Direct
0.8624 0.3248 0.9351
0.1376 0.6752 0.0649
0.9108 0.2415 0.5536
0.9324 0.4731 0.1842
0.4657 0.6127 0.7736
0.0676 0.5269 0.8158
0.0892 0.7585 0.4464
0.5343 0.3873 0.2264
0.7140 0.4642 0.3824
0.2860 0.5358 0.6176
0.5000 0.0000 0.5000
```

Computed properties:
Its space group is P-1. The value obtained for the formation energy without anion corrections is -94.7 kJ/mol of atoms.

=====

The following is a DFT calculation (PBE) of a relaxed Ho2Tm12Th crystal.

Structure (POSCAR):
```
Ho2Tm12Th
1.0
6.3688 -1.4430 -0.5155
-1.4430 6.3688 -0.5155
-1.2566 -1.2566 24.2427
Tm Ho Th
24 4 2
Direct
0.8943 0.8942 0.1929
0.6845 0.1845 0.5784
0.1845 0.6845 0.5784
0.9959 0.9959 0.3299
0.9505 0.9505 0.9332
0.1483 0.6483 0.8639
0.3155 0.8155 0.4216
0.8330 0.8330 0.4448
0.5041 0.5041 0.6701
0.6482 0.1482 0.8639
0.1057 0.1057 0.8071
0.8518 0.3518 0.1361
0.6057 0.6058 0.8071
0.6670 0.6670 0.5552
0.4505 0.4505 0.9332
0.1670 0.1670 0.5552
0.5495 0.5495 0.0668
0.8155 0.3155 0.4216
0.3330 0.3330 0.4448
0.3943 0.3943 0.1929
0.0495 0.0495 0.0668
0.0041 0.0041 0.6701
0.3517 0.8517 0.1361
0.4959 0.4959 0.3299
0.0402 0.5402 0.7186
0.9599 0.4599 0.2814
0.4598 0.9598 0.2814
0.5401 0.0401 0.7186
0.0000 0.5000 0.0000
0.5000 0.0000 0.0000
```

Computed properties:
Its space group is P2/m. The energy relative to the elements is 0.108 eV per atom.

=====

The following is a DFT calculation (PBE) of a relaxed SrCo2Sb crystal.

Structure (POSCAR):
```
SrCo2Sb
1.0
-0.6691 -2.4233 -2.2283
3.2105 -0.9834 0.1042
-1.4783 -4.2858 5.1047
Sr Co Sb
1 2 1
Direct
0.5000 0.5000 0.7500
0.0000 0.0000 0.0634
0.0000 0.0000 0.4366
0.5000 0.5000 0.2500
```

Computed properties:
Its space group is P4/mmm. The value obtained for the formation energy without anion corrections is 28.9 kJ/mol of atoms.

=====

The following is a DFT calculation (PBE) of a relaxed Rb2RuCCl6 crystal.

Structure (POSCAR):
```
Rb2RuCCl6
1.0
7.5582 0.0000 0.0000
0.0000 7.5582 0.0000
3.7791 3.7791 4.5469
C Rb Cl Ru
1 2 6 1
Direct
0.5000 0.5000 0.0000
0.2500 0.7500 0.5000
0.7500 0.2500 0.5000
0.2244 0.7756 0.0000
0.7756 0.2244 0.0000
0.2244 0.2244 0.0000
0.7756 0.7756 0.0000
0.7309 0.7309 0.5382
0.2691 0.2691 0.4618
0.0000 0.0000 0.0000
```

Computed properties:
Its space group is I4/mmm. The value obtained for the formation energy without anion corrections is -39.3 kJ/mol of atoms.

=====

The following is a DFT calculation (PBE) of a relaxed Sc4AsCl crystal.

Structure (POSCAR):
```
Sc4AsCl
1.0
0.0000 4.1129 4.1129
4.1129 0.0000 4.1129
4.1129 4.1129 0.0000
Sc As Cl
4 1 1
Direct
0.3765 0.8705 0.3765
0.8705 0.3765 0.3765
0.3765 0.3765 0.3765
0.3765 0.3765 0.8705
0.7500 0.7500 0.7500
0.0000 0.0000 0.0000
```

Computed properties:
Its space group is F-43m. The value obtained for the formation energy without anion corrections is 8.0 kJ/mol of atoms.

=====

The following is a DFT calculation (PBE) of a relaxed Hg5Pb3I12 crystal.

Structure (POSCAR):
```
Hg5Pb3I12
1.0
-14.9346 6.8801 1.1717
0.1067 -10.8158 -12.4402
3.5833 -7.7859 14.0816
Hg I Pb
20 48 12
Direct
0.0000 0.5000 0.0000
0.0000 0.0000 0.5000
0.5000 0.0000 0.5000
0.8750 0.2500 0.6250
0.3750 0.2500 0.1250
0.6250 0.7500 0.8750
0.2500 0.3750 0.6250
0.0000 0.5000 0.5000
0.1250 0.3750 0.2500
0.5000 0.5000 0.0000
0.0000 0.0000 0.0000
0.7500 0.1250 0.8750
0.3750 0.1250 0.7500
0.5000 0.5000 0.5000
0.8750 0.6250 0.7500
0.6250 0.8750 0.2500
0.1250 0.7500 0.3750
0.2500 0.8750 0.1250
0.5000 0.0000 0.0000
0.7500 0.6250 0.3750
0.4134 0.3694 0.5980
0.1306 0.4020 0.0866
0.4560 0.7714 0.8694
0.2286 0.6845 0.0980
0.4020 0.2714 0.3155
0.1845 0.0980 0.7286
0.9134 0.8155 0.5440
0.6845 0.2286 0.5980
0.8694 0.2714 0.4560
0.5866 0.6306 0.4020
0.0866 0.1845 0.4560
0.4560 0.6845 0.0866
0.3155 0.7714 0.4020
0.3694 0.9560 0.7714
0.5440 0.2286 0.1306
0.9134 0.0980 0.8694
0.2714 0.8694 0.9560
0.9560 0.5866 0.1845
0.8155 0.9020 0.2714
0.5440 0.3155 0.9134
0.3694 0.4134 0.0980
0.0980 0.1845 0.2286
0.5980 0.7286 0.6845
0.0980 0.9134 0.3694
0.2714 0.4020 0.8155
0.3155 0.5440 0.4134
0.7286 0.1306 0.0440
0.5980 0.8694 0.4134
0.8694 0.5980 0.9134
0.1306 0.7286 0.5440
0.9560 0.3694 0.2714
0.5866 0.9560 0.6845
0.7714 0.4560 0.3694
0.6306 0.5866 0.9020
0.2286 0.5440 0.6306
0.4134 0.0440 0.3155
0.7286 0.5980 0.1845
0.7714 0.3155 0.9020
0.6845 0.4560 0.5866
0.6306 0.0440 0.2286
0.9020 0.8155 0.7714
0.9020 0.0866 0.6306
0.0440 0.6306 0.7286
0.4020 0.1306 0.5866
0.0440 0.4134 0.8155
0.0866 0.9020 0.1306
0.1845 0.0866 0.9560
0.8155 0.9134 0.0440
0.8750 0.7500 0.1250
0.6250 0.2500 0.3750
0.7500 0.8750 0.6250
0.3750 0.7500 0.6250
0.7500 0.3750 0.1250
0.8750 0.1250 0.2500
0.1250 0.8750 0.7500
0.2500 0.1250 0.3750
0.1250 0.2500 0.8750
0.2500 0.6250 0.8750
0.3750 0.6250 0.2500
0.6250 0.3750 0.7500
```

Computed properties:
Its space group is Ia-3d. The value obtained for the formation energy without anion corrections is -22.6 kJ/mol of atoms.

=====

The following is a DFT calculation (PBE) of a relaxed Pa2CrSi3Ni12 crystal.

Structure (POSCAR):
```
Pa2CrSi3Ni12
1.0
6.0629 -1.3097 -0.9290
1.8553 5.9188 -0.9290
1.8553 1.0800 5.8931
Ni Cr Si Pa
12 1 3 2
Direct
0.3048 0.8037 0.8037
0.8037 0.3048 0.8037
0.0941 0.6142 0.6142
0.3858 0.3858 0.9059
0.8037 0.8037 0.3048
0.9059 0.3858 0.3858
0.3858 0.9059 0.3858
0.1963 0.1963 0.6952
0.1963 0.6952 0.1963
0.6952 0.1963 0.1963
0.6142 0.6142 0.0941
0.6142 0.0941 0.6142
0.0000 0.0000 0.0000
0.5000 0.0000 0.0000
0.0000 0.5000 0.0000
0.0000 0.0000 0.5000
0.3330 0.3330 0.3330
0.6670 0.6670 0.6670
```

Computed properties:
Its space group is R-3m. The value obtained for the formation energy without anion corrections is -16.9 kJ/mol of atoms.

=====

The following is a DFT calculation (PBE) of a relaxed Co2Ag crystal.

Structure (POSCAR):
```
Co2Ag
1.0
4.8581 0.0000 0.0000
-2.4291 4.2073 0.0000
0.0000 0.0000 7.8412
Co Ag
8 4
Direct
0.1702 0.8298 0.7500
0.0000 0.0000 0.5000
0.6597 0.8298 0.7500
0.0000 0.0000 0.0000
0.3403 0.1702 0.2500
0.8298 0.6597 0.2500
0.8298 0.1702 0.2500
0.1702 0.3403 0.7500
0.6667 0.3333 0.9344
0.6667 0.3333 0.5656
0.3333 0.6667 0.0656
0.3333 0.6667 0.4344
```

Computed properties:
Its space group is P6_3/mmc. The energy relative to the elements is 0.283 eV per atom.

=====

The following is a DFT calculation (PBE) of a relaxed K2HfAuO4 crystal.

Structure (POSCAR):
```
K2HfAuO4
1.0
5.7232 0.1396 0.2139
-2.3123 5.2371 -0.2139
-2.3123 -2.3034 4.7082
K O Hf Au
2 4 1 1
Direct
0.0000 0.0000 0.0000
0.5000 0.7500 0.2500
0.5541 0.2826 0.4366
0.1540 0.2715 0.7174
0.4459 0.8825 0.7285
0.8460 0.5633 0.1175
0.5000 0.2500 0.7500
0.0000 0.5000 0.5000
```

Computed properties:
Its space group is I-4. The value obtained for the formation energy without anion corrections is -168.9 kJ/mol of atoms.

=====

The following is a DFT calculation (PBE) of a relaxed BeIn2Cl crystal.

Structure (POSCAR):
```
BeIn2Cl
1.0
3.4294 0.0126 0.0000
-1.9752 2.8035 0.0000
0.0000 0.0000 10.3473
In Be Cl
2 1 1
Direct
0.0000 0.0000 0.0312
0.5000 0.5000 0.3061
0.0000 0.0000 0.5175
0.5000 0.5000 0.6452
```

Computed properties:
Its space group is Cmm2. The value obtained for the formation energy without anion corrections is -11.9 kJ/mol of atoms.

=====

The following is a DFT calculation (PBE) of a relaxed ScRe2Ir crystal.

Structure (POSCAR):
```
ScRe2Ir
1.0
4.4768 0.0000 0.0000
0.0000 3.7708 0.0000
0.0000 0.0000 3.7708
Re Sc Ir
2 1 1
Direct
0.0000 0.0000 0.0000
0.0000 0.5000 0.5000
0.5000 0.5000 0.0000
0.5000 0.0000 0.5000
```

Computed properties:
Its space group is P4/mmm. The energy relative to the elements is -0.079 eV per atom.

=====

The following is a DFT calculation (PBE) of a relaxed La2AlAs crystal.

Structure (POSCAR):
```
La2AlAs
1.0
-3.4101 -1.4894 2.0324
-1.0247 -4.1037 -0.2955
3.0324 -3.4430 6.9742
Al La As
1 2 1
Direct
0.7500 0.7500 0.7500
0.5092 0.5092 0.4732
0.9908 0.9908 0.0268
0.2500 0.2500 0.2500
```

Computed properties:
Its space group is R-3m. The energy relative to the elements is -0.784 eV per atom.

=====

The following is a DFT calculation (PBE) of a relaxed Pr2Sm6Er3In crystal.

Structure (POSCAR):
```
Pr2Sm6Er3In
1.0
-1.4128 -1.4147 5.8426
1.7621 -4.4365 -3.9173
11.0092 3.6372 2.4551
Sm Pr In Er
6 2 1 3
Direct
0.5901 0.9160 0.7475
0.2416 0.2416 0.7468
0.4099 0.0840 0.2525
0.9160 0.5901 0.7475
0.7584 0.7584 0.2532
0.0840 0.4099 0.2525
0.6664 0.3336 0.0000
0.3336 0.6664 0.0000
0.0000 0.0000 0.0000
0.5000 0.5000 0.5000
0.8330 0.1670 0.5000
0.1670 0.8330 0.5000
```

Computed properties:
Its space group is C2/m. The energy relative to the elements is -0.054 eV per atom.

=====

The following is a DFT calculation (PBE) of a relaxed SrEr2Zn6 crystal.

Structure (POSCAR):
```
SrEr2Zn6
1.0
-0.6643 3.2901 1.1310
-7.4076 -0.6063 -2.5875
1.7904 -2.1698 7.3507
Zn Er Sr
6 2 1
Direct
0.5005 0.9999 0.3394
0.4995 0.0001 0.6606
0.4995 0.6606 0.6606
0.5000 0.3395 0.0000
0.5000 0.6605 0.0000
0.5005 0.3394 0.3394
0.0000 0.6667 0.3334
0.0000 0.3333 0.6666
0.0000 0.0000 0.0000
```

Computed properties:
Its space group is P6/mmm. The energy relative to the elements is -0.289 eV per atom.

=====

The following is a DFT calculation (PBE) of a relaxed Sr2Pt5Au12 crystal.

Structure (POSCAR):
```
Sr2Pt5Au12
1.0
-3.0871 -6.3924 -1.5438
5.9733 -4.0932 0.5848
-1.0449 -2.2145 6.8396
Au Pt Sr
12 5 2
Direct
0.8481 0.3493 0.3493
0.6507 0.6507 0.1519
0.6507 0.1519 0.6507
0.1519 0.6507 0.6507
0.3493 0.8481 0.3493
0.0000 0.2986 0.7014
0.0000 0.7014 0.2986
0.2986 0.0000 0.7014
0.7014 0.0000 0.2986
0.7014 0.2986 0.0000
0.3493 0.3493 0.8481
0.2986 0.7014 0.0000
0.8986 0.8986 0.8986
0.5000 0.0000 0.0000
0.0000 0.0000 0.5000
0.0000 0.5000 0.0000
0.1014 0.1014 0.1014
0.3297 0.3297 0.3297
0.6703 0.6703 0.6703
```

Computed properties:
Its space group is R-3m. The energy relative to the elements is -0.268 eV per atom.

=====

The following is a DFT calculation (PBE) of a relaxed SnHg2Te crystal.

Structure (POSCAR):
```
SnHg2Te
1.0
-0.7181 -5.0210 1.7686
-4.6838 -1.4250 2.2102
-3.3061 -3.3240 -2.6219
Hg Te Sn
2 1 1
Direct
0.7500 0.7500 0.7500
0.2500 0.2500 0.2500
0.5000 0.5000 0.5000
0.0000 0.0000 0.0000
```

Computed properties:
Its space group is Fm-3m. The value obtained for the formation energy without anion corrections is 14.2 kJ/mol of atoms.

=====

The following is a DFT calculation (PBE) of a relaxed AlP2W crystal.

Structure (POSCAR):
```
AlP2W
1.0
-3.6971 -5.8208 3.0352
-1.7482 -5.0718 5.2899
-4.3993 -3.5487 4.9814
P W Al
2 1 1
Direct
0.2518 0.2518 0.2518
0.9943 0.9943 0.9943
0.5082 0.5082 0.5082
0.7457 0.7457 0.7457
```

Computed properties:
Its space group is R3m. The energy relative to the elements is 0.114 eV per atom.

=====

The following is a DFT calculation (PBE) of a relaxed B2AsF crystal.

Structure (POSCAR):
```
B2AsF
1.0
-4.4404 -0.3395 0.5649
-0.2972 -2.4026 -3.7803
-1.7132 -5.5795 1.0155
As B F
2 4 2
Direct
0.7500 0.2500 0.5000
0.0000 0.0000 0.0000
0.6141 0.1250 0.2500
0.8750 0.8641 0.7500
0.1359 0.6250 0.2500
0.3750 0.3859 0.7500
0.2500 0.7500 0.5000
0.5000 0.5000 0.0000
```

Computed properties:
Its space group is I-42d. The value obtained for the formation energy without anion corrections is 61.2 kJ/mol of atoms.

=====

The following is a DFT calculation (PBE) of a relaxed La2Al4TlAu3 crystal.

Structure (POSCAR):
```
La2Al4TlAu3
1.0
-3.8054 0.0410 2.4295
2.3852 -0.7987 3.7495
1.0998 10.5382 1.5450
Al Au Tl La
4 3 1 2
Direct
0.0000 0.0000 0.0000
0.5000 0.0000 0.6449
0.0000 0.5000 0.3551
0.5000 0.5000 0.0000
0.5000 0.0000 0.8786
0.0000 0.0000 0.5000
0.0000 0.5000 0.1214
0.5000 0.5000 0.5000
0.0000 0.5000 0.7556
0.5000 0.0000 0.2444
```

Computed properties:
Its space group is P-4m2. The energy relative to the elements is -0.641 eV per atom.

=====

Number 1: total DFT energy (no corrections) -0.373 Ry/atom. Number 2: total DFT energy (no corrections) -0.336 Ry/atom. Number 3: total DFT energy (no corrections) -0.346 Ry/atom. Number 4: total DFT energy (no corrections) -0.262 Ry/atom. Number 5: total DFT energy (no corrections) -0.384 Ry/atom. Number 6: total DFT energy (no corrections) -0.132 Ry/atom. Number 7: total DFT energy (no corrections) -0.479 Ry/atom. Number 8: total DFT energy (no corrections) -0.397 Ry/atom. Number 9: total DFT energy (no corrections) -0.453 Ry/atom. Number 10: total DFT energy (no corrections) -0.212 Ry/atom. Number 11: total DFT energy (no corrections) -0.742 Ry/atom. Number 12: total DFT energy (no corrections) -0.393 Ry/atom. Number 13: total DFT energy (no corrections) -0.337 Ry/atom. Number 14: total DFT energy (no corrections) -0.172 Ry/atom. Number 15: total DFT energy (no corrections) -0.302 Ry/atom. Number 16: total DFT energy (no corrections) -0.132 Ry/atom. Number 17: total DFT energy (no corrections) -0.497 Ry/atom. Number 18: total DFT energy (no corrections) -0.319 Ry/atom. Number 19: total DFT energy (no corrections) -0.319 Ry/atom.